The following is a PBE-GGA calculation of LaNpSeS2 after structural relaxation, from Alexandria.

Lattice parameters (Å, degrees): 3.953 6.690 10.389 90.00 90.00 107.19
Sites, in units of the cell vectors:
La (0.236, 0.472, 0.750)
La (0.764, 0.528, 0.250)
Np (0.000, 0.000, 0.500)
Np (0.000, 0.000, 0.000)
Se (0.912, 0.824, 0.750)
Se (0.088, 0.176, 0.250)
S (0.637, 0.274, 0.574)
S (0.363, 0.726, 0.426)
S (0.363, 0.726, 0.074)
S (0.637, 0.274, 0.926)

For the calculated volume, the calculation gives 26.25 A^3/atom. The energy relative to the elements, uncorrected is -1655 meV/atom. The uncorrected energy comes out at -75.76 eV/cell.